Compound: SrPmGaPb
Source: Alexandria
Functional: GGA-PBE
Structure: relaxed

Output
DFT formation energy   -0.40 eV/atom

a = 5.531 Å, b = 5.531 Å, c = 5.531 Å
α = 60.00°, β = 60.00°, γ = 60.00°
Fractional coordinates of all 4 atoms:
Sr  0.000  0.000  0.000
Pm  0.500  0.500  0.500
Ga  0.750  0.750  0.750
Pb  0.250  0.250  0.250

Compound: TbPmGaPb
Source: Alexandria
Functional: GGA-PBE
Structure: relaxed

Output
DFT formation energy   -0.45 eV/atom

a = 5.341 Å, b = 5.341 Å, c = 5.341 Å
α = 60.00°, β = 60.00°, γ = 60.00°
Fractional coordinates of all 4 atoms:
Tb  0.000  0.000  0.000
Pm  0.500  0.500  0.500
Ga  0.250  0.250  0.250
Pb  0.750  0.750  0.750

Compound: Pm4GaTe2Pb
Source: Alexandria
Functional: GGA-PBE
Structure: relaxed

a = 7.553 Å, b = 4.367 Å, c = 7.984 Å
α = 90.00°, β = 108.46°, γ = 90.00°
Fractional coordinates of all 8 atoms:
Pm  0.240  0.000  0.241
Pm  0.244  0.500  0.756
Pm  0.756  0.500  0.244
Pm  0.760  0.000  0.759
Ga  0.000  0.500  0.000
Te  0.000  0.000  0.500
Te  0.500  0.500  0.500
Pb  0.500  0.000  0.000

Across the entries above, calculated total energy takes the values -14.8; -17.9; -39.9 eV for the cell shown, respectively.